Entry 1:
Here is a relaxed PaNi2Ge crystal from the Alexandria database. Energies are from PBE-GGA.

## Properties
crystal system = cubic
uncorrected energy = -6.829 eV/atom
ΔE_f = -409.9 meV/atom

Unit cell a=4.4969 b=4.4969 c=4.4969 alpha=60.00 beta=60.00 gamma=60.00
With the nearest neighbours (Å) after each atom.
Fractional coordinates of all 4 atoms:
Ni (0.2500, 0.2500, 0.2500)  4 Ge 2.75, 4 Pa 2.75
Ni (0.7500, 0.7500, 0.7500)  4 Pa 2.75, 4 Ge 2.75
Ge (0.5000, 0.5000, 0.5000)  8 Ni 2.75
Pa (0.0000, 0.0000, 0.0000)  8 Ni 2.75

Entry 2:
Here is a relaxed ErGa2H6 crystal from the Alexandria database. Energies are from PBE-GGA.

## Properties
crystal system = cubic
uncorrected energy = -2.982 eV/atom

Unit cell a=5.2254 b=5.2254 c=5.2254 alpha=60.00 beta=60.00 gamma=60.00
With the nearest neighbours (Å) after each atom.
Fractional coordinates of all 9 atoms:
Er (0.0000, 0.0000, 0.0000)  6 H 2.05
Ga (0.7500, 0.7500, 0.7500)  12 H 2.62
Ga (0.2500, 0.2500, 0.2500)  12 H 2.62
H (0.2772, 0.7228, 0.7228)  1 Er 2.05
H (0.7228, 0.7228, 0.2772)  1 Er 2.05
H (0.7228, 0.2772, 0.7228)  1 Er 2.05
H (0.7228, 0.2772, 0.2772)  1 Er 2.05
H (0.2772, 0.2772, 0.7228)  1 Er 2.05
H (0.2772, 0.7228, 0.2772)  1 Er 2.05

Entry 3:
Here is a relaxed LiNpSc2N4 crystal from the Alexandria database. Energies are from PBE-GGA.

## Properties
crystal system = monoclinic
formation energy from raw total energies = -1.371 eV/atom
uncorrected energy = -8.974 eV/atom

Unit cell a=3.2947 b=5.4525 c=5.5732 alpha=106.00 beta=90.00 gamma=90.00
With the nearest neighbours (Å) after each atom.
Fractional coordinates of all 8 atoms:
Li (0.5000, 0.5000, 0.0000)  6 N 2.24-2.44
Np (0.0000, 0.0000, 0.0000)  2 N 2.07
Sc (0.5000, 0.0000, 0.5000)  6 N 2.17-2.25
Sc (0.0000, 0.5000, 0.5000)  6 N 2.30-2.35
N (0.5000, 0.2551, 0.2628)  3 Sc 2.17-2.30, 1 Li 2.24, 2 Np 2.38
N (0.5000, 0.7449, 0.7372)  3 Sc 2.17-2.30, 1 Li 2.24, 2 Np 2.38
N (0.0000, 0.2137, 0.7463)  1 Np 2.07, 2 Sc 2.25
N (0.0000, 0.7863, 0.2537)  1 Np 2.07, 2 Sc 2.25

Entry 4:
Here is a relaxed Ca4ZrPt crystal from the Alexandria database. Energies are from PBE-GGA.

## Properties
crystal system = cubic
uncorrected energy = -3.112 eV/atom
ΔE_f = 654.2 meV/atom

Unit cell a=6.3034 b=6.3034 c=6.3034 alpha=60.00 beta=60.00 gamma=60.00
With the nearest neighbours (Å) after each atom.
Fractional coordinates of all 6 atoms:
Ca (0.8747, 0.3751, 0.3751)  6 Ca 3.15
Ca (0.3751, 0.3751, 0.8747)  6 Ca 3.15
Ca (0.3751, 0.8747, 0.3751)  6 Ca 3.15
Ca (0.3751, 0.3751, 0.3751)  6 Ca 3.15
Zr (0.0000, 0.0000, 0.0000)  12 Ca 3.70, 4 Pt 3.86
Pt (0.7500, 0.7500, 0.7500)  12 Ca 3.70, 4 Zr 3.86

Looking at calculated density for the records above, in order, we have 10.9 5.1 6.7 4.2 g cm⁻³.